Entry 1:
# CdIn16Hg12

Crystalline CdIn16Hg12 at its relaxed geometry (PBE, Alexandria).

```
29
Lattice="-6.0322 -7.4392 -2.8329 9.1641 -1.5531 -3.6554 3.5588 -8.7075 3.4376" Properties=species:S:1:pos:R:3 pbc="T T T"
Cd 4.3900 -11.5256 -1.3710
Hg -1.9080 -13.3689 -1.2387
In 8.6132 -6.1341 -0.6343
In -1.2019 -5.6552 -0.0235
Hg 5.8221 -10.5799 1.4847
In 5.2541 -6.5716 -1.5692
Hg 5.4041 -14.2895 -2.4151
In 7.1786 -9.5056 -1.2209
Hg -2.4571 -7.7870 -2.3469
In 4.6805 -3.3767 -0.3419
Hg 2.9707 -11.6844 1.6391
Hg 2.1475 -10.3293 -3.2751
In -0.0573 -8.4674 -5.1212
In 6.6657 -17.6304 -3.0137
In 2.0486 -5.4076 -0.8488
Hg 9.4871 -11.6130 -2.0823
In 5.2505 -6.4115 -5.4085
Hg 2.6260 -7.2522 -3.3814
In -2.2659 -10.3480 -0.0454
Hg 6.8169 -4.1948 -2.8489
In 0.4081 -8.4486 -1.3069
Hg 5.0550 -9.2032 -3.4325
In 0.9982 -11.8995 -0.8864
In 3.6437 -4.1192 -3.5787
Hg 0.6374 -15.0408 -1.6033
Hg 10.2680 -8.6527 -1.8977
In 3.4145 -8.8166 -0.0084
In -0.2452 -5.6255 -3.3682
In 1.1553 -2.8504 0.9469
```

Calculated values
Crystal system: monoclinic
V (Å³ per atom): 26.4
Space-group type: Cm
Formation enthalpy at 0 K (eV per atom): 0.0195
Theoretical density (kg/m³): 9448
Total magnetic moment (μB per formula unit): 0.000

Entry 2:
# CdIn4Hg12

Crystalline CdIn4Hg12 at its relaxed geometry (PBE, Alexandria).

```
17
Lattice="8.3544 -0.0001 -2.9500 -4.1822 7.2602 -2.9640 0.0098 0.0000 8.8779" Properties=species:S:1:pos:R:3 pbc="T T T"
Cd 8.3642 -0.0001 5.9279
Hg 2.0707 1.4680 5.9562
In 4.1772 0.0000 -1.4750
In -2.0911 3.6301 -1.4820
Hg -1.8707 6.1959 -0.0342
Hg -1.4973 4.7314 4.7180
Hg -0.2360 2.5306 2.9332
Hg 0.6589 6.1985 1.7603
Hg 6.0527 1.0642 2.9982
Hg 5.6792 2.5287 -1.7541
In 2.0910 3.6300 1.4820
Hg 4.4180 4.7294 0.0307
Hg 2.1113 5.7921 -2.9923
Hg 3.5231 1.0616 1.2036
In 0.0049 0.0000 4.4390
Hg 3.3318 3.6624 4.1634
Hg 0.8502 3.5977 -1.1995
```

Calculated values
Crystal system: trigonal
V (Å³ per atom): 31.7
Space-group type: R-3
Formation enthalpy at 0 K (eV per atom): 0.0855
Theoretical density (kg/m³): 9182
Total magnetic moment (μB per formula unit): 0.000

Entry 3:
# Cd3In5Hg2

Crystalline Cd3In5Hg2 at its relaxed geometry (PBE, Alexandria).

```
20
Lattice="-3.6156 -0.8762 4.8909 5.1989 -5.2127 6.7697 0.3224 8.2912 5.5841" Properties=species:S:1:pos:R:3 pbc="T T T"
In -0.5562 0.2758 5.4288
In 0.0490 0.8821 9.8451
In -1.8392 2.8876 6.8784
In 1.8392 -1.8545 4.8877
In 2.4619 1.9265 11.8159
Cd 1.0875 -0.8889 12.2257
Cd -0.9039 -0.2191 1.2227
In 3.7450 -0.6853 10.3664
Hg 2.5834 -3.1303 9.0696
Hg 4.2140 -2.7689 6.4794
Hg -0.6777 5.3326 8.1751
In 1.2516 0.7139 2.9833
Cd 1.4008 3.6877 9.4169
Cd 0.5049 -1.4854 7.8278
Hg -2.3082 4.9712 10.7653
Cd 0.8182 3.0912 5.0190
Cd -2.7117 -0.6572 3.6682
In 0.6541 1.4884 14.2614
In 1.8568 1.3202 7.3996
In 0.0665 4.0568 12.3570
```

Calculated values
Crystal system: orthorhombic
V (Å³ per atom): 27.5
Space-group type: Ibam
Formation enthalpy at 0 K (eV per atom): 0.0680
Theoretical density (kg/m³): 7914
Polymorph energy (0 for the lowest one) (eV per atom): 0.037
Total magnetic moment (μB per formula unit): 0.000

Entry 4:
# CdIn5Hg3

Crystalline CdIn5Hg3 at its relaxed geometry (PBE, Alexandria).

```
18
Lattice="6.5803 0.0029 0.0179 0.0060 5.8967 0.0002 0.0370 0.0003 12.9085" Properties=species:S:1:pos:R:3 pbc="T T T"
In 1.5719 5.0754 10.2984
Hg 3.2903 2.6509 11.4852
In 5.0706 5.0582 10.3191
Hg 3.2825 0.3011 5.0306
Cd 0.0185 0.0002 6.4542
Cd 0.0030 2.9483 0.0001
In 5.0646 2.1141 9.0848
Hg 3.3329 3.2490 1.4414
In 1.5660 2.1229 9.0601
In 1.5526 0.8417 2.6075
In 5.0514 0.8245 2.6283
In 1.5586 3.7858 3.8418
In 3.3116 2.9500 6.4633
Hg 0.0000 0.0000 0.0000
In 3.2901 0.0015 0.0090
Hg 3.3408 5.5989 7.8960
Hg 0.0215 2.9485 6.4544
In 5.0573 3.7770 3.8665
```

Calculated values
Crystal system: triclinic
V (Å³ per atom): 27.8
Space-group type: P-1
Formation enthalpy at 0 K (eV per atom): 0.0535
Theoretical density (kg/m³): 8542
Polymorph energy (0 for the lowest one) (eV per atom): 0.026
Total magnetic moment (μB per formula unit): 0.000